! CeY12Tm3, optimized geometry, DFT PBE; values from VASP
! space group = P4/mmm
! density = 5.58 Mg/m³
! Fermi-level density of states = 24.6 states/eV/cell
! total magnetic moment = 1.067 Bohr magnetons per cell
! DFT formation energy = 3.8 kJ/mol of atoms
&SYSTEM
  ibrav = 0, nat = 16, ntyp = 3
/
ATOMIC_SPECIES
Ce 140.12 Ce.upf
Y 88.91 Y.upf
Tm 168.93 Tm.upf
CELL_PARAMETERS angstrom
5.0350 0.0000 0.0000
0.0000 5.0350 0.0000
0.0000 0.0000 20.1335
ATOMIC_POSITIONS crystal
Ce 0.0000 0.0000 0.0000
Y 0.0000 0.5000 0.1249
Y 0.0000 0.5000 0.3750
Y 0.0000 0.5000 0.6250
Y 0.0000 0.5000 0.8751
Y 0.5000 0.0000 0.1249
Y 0.5000 0.0000 0.3750
Y 0.5000 0.0000 0.6250
Y 0.5000 0.0000 0.8751
Y 0.5000 0.5000 0.0000
Y 0.5000 0.5000 0.2516
Y 0.5000 0.5000 0.5000
Y 0.5000 0.5000 0.7484
Tm 0.0000 0.0000 0.2497
Tm 0.0000 0.0000 0.5000
Tm 0.0000 0.0000 0.7503